Record 1
This record from Alexandria via LeMat-Bulk describes an optimized crystal structure of CaCeZnSi. The functional is PBE-GGA.

The structure in POSCAR format:
```
CaCeZnSi
1.0
-0.423 5.064 -0.102
-4.474 2.197 0.995
-0.657 2.583 4.328
Ce Ca Zn Si
1 1 1 1
Direct
0.000 0.000 0.000
0.500 0.500 0.500
0.250 0.250 0.250
0.750 0.750 0.750
```

Values from the calculation:
Formation energy from raw total energies   -0.342 eV/atom

***

Record 2
This record from Alexandria via LeMat-Bulk describes an optimized crystal structure of CaNb2Pd2. The functional is PBE-GGA.

The structure in POSCAR format:
```
CaNb2Pd2
1.0
-1.643 0.743 7.879
-7.560 -2.526 -1.338
0.851 -2.779 0.439
Nb Pd Ca
4 4 2
Direct
0.835 0.335 0.500
0.335 0.165 0.500
0.165 0.665 0.500
0.665 0.835 0.500
0.127 0.373 0.000
0.373 0.873 0.000
0.627 0.127 0.000
0.873 0.627 0.000
0.500 0.500 0.000
0.000 0.000 0.000
```

Values from the calculation:
ΔE to the lowest computed polymorph   104.7 meV/atom
DFT formation energy   -0.02 eV per atom